No. 1
The following is a PBE calculation of crystalline Rb2SnC at its relaxed geometry, from Alexandria.

```
Rb2SnC
1.0
0.0000 4.0728 4.0728
4.0728 0.0000 4.0728
4.0728 4.0728 0.0000
C Sn Rb
1 1 2
Direct
0.0000 0.0000 0.0000
0.5000 0.5000 0.5000
0.2500 0.2500 0.2500
0.7500 0.7500 0.7500
```

Values from the calculation:
Space group   Fm-3m
VASP energy   -8.874 eV for the cell shown
DOS(E_F)   0.253 states/eV per atom



No. 2
The following is a PBE calculation of crystalline RbSn2C2 at its relaxed geometry, from Alexandria.

```
RbSn2C2
1.0
4.3529 0.0000 0.0000
0.0000 4.3529 0.0000
2.1764 2.1764 5.1444
C Sn Rb
2 2 1
Direct
0.7500 0.2500 0.5000
0.2500 0.7500 0.5000
0.3358 0.3358 0.3284
0.6642 0.6642 0.6716
0.0000 0.0000 0.0000
```

Values from the calculation:
Space group   I4/mmm
VASP energy   -22.145 eV for the cell shown
DOS(E_F)   0.392 states/eV per atom



No. 3
The following is a PBE calculation of crystalline RbSn2C2 at its relaxed geometry, from Alexandria.

```
RbSn2C2
1.0
8.5945 0.0000 0.0000
0.0000 8.5945 0.0000
0.0000 0.0000 3.5039
C Sn Rb
4 4 2
Direct
0.4436 0.9436 0.0000
0.9436 0.5564 0.0000
0.5564 0.0564 0.0000
0.0564 0.4436 0.0000
0.1381 0.6381 0.5000
0.6381 0.8619 0.5000
0.8619 0.3619 0.5000
0.3619 0.1381 0.5000
0.0000 0.0000 0.0000
0.5000 0.5000 0.0000
```

Values from the calculation:
Space group   P4/mbm
VASP energy   -45.099 eV for the cell shown
DOS(E_F)   0.490 states/eV per atom



No. 4
The following is a PBE calculation of crystalline Rb2SrC at its relaxed geometry, from Alexandria.

```
Rb2SrC
1.0
12.9231 0.0000 0.0000
0.0000 12.9231 0.0000
6.4615 6.4615 2.4754
Sr C Rb
2 2 4
Direct
0.0000 0.0000 0.0000
0.7500 0.2500 0.5000
0.5000 0.5000 0.0000
0.2500 0.7500 0.5000
0.4536 0.1250 0.2500
0.2964 0.6250 0.2500
0.3750 0.5464 0.7500
0.8750 0.7036 0.7500
```

Values from the calculation:
Space group   I-42d
VASP energy   -18.081 eV for the cell shown
DOS(E_F)   0.739 states/eV per atom



No. 5
The following is a PBE calculation of crystalline RbSrC2 at its relaxed geometry, from Alexandria.

```
RbSrC2
1.0
0.0000 3.4637 3.4637
3.4637 0.0000 3.4637
3.4637 3.4637 0.0000
Sr C Rb
1 2 1
Direct
0.5000 0.5000 0.5000
0.2500 0.2500 0.2500
0.7500 0.7500 0.7500
0.0000 0.0000 0.0000
```

Values from the calculation:
Space group   Fm-3m
VASP energy   -12.927 eV for the cell shown
DOS(E_F)   0.983 states/eV per atom



No. 6
The following is a PBE calculation of crystalline RbSrC3 at its relaxed geometry, from Alexandria.

```
RbSrC3
1.0
5.4459 0.0000 0.0000
0.0000 5.4459 0.0000
0.0000 0.0000 5.4459
Sr C Rb
1 3 1
Direct
0.0000 0.0000 0.0000
0.0000 0.5000 0.0000
0.0000 0.0000 0.5000
0.5000 0.0000 0.0000
0.5000 0.5000 0.5000
```

Values from the calculation:
Space group   Pm-3m
VASP energy   -16.178 eV for the cell shown
DOS(E_F)   0.088 states/eV per atom



Record-wise energy of formation values, in meV per atom: 1572; 1055; 974; 950; 2043; 2829